# 1
A plane-wave DFT calculation with PBE-GGA was carried out for a relaxed structure of CaPr2ErSe4.

Calculated values
Energy relative to the elements, uncorrected, eV per atom: -1.8418
Energy, eV per cell: -44.8
Total magnetic moment, μB per formula unit: 0.0

Unit cell a=7.1890 b=4.1394 c=7.3730 alpha=90.00 beta=108.76 gamma=90.00
Fractional coordinates of all 8 atoms:
Ca 0.0000 0.0000 0.0000
Pr 0.0000 0.5000 0.5000
Pr 0.5000 0.0000 0.5000
Er 0.5000 0.5000 0.0000
Se 0.2492 0.5000 0.2347
Se 0.2591 0.0000 0.7685
Se 0.7409 0.0000 0.2315
Se 0.7508 0.5000 0.7653



# 2
A plane-wave DFT calculation with PBE-GGA was carried out for a relaxed structure of CaPr4Er3Se8.

Calculated values
Energy relative to the elements, uncorrected, eV per atom: -1.8080
Energy, eV per cell: -91.6
Total magnetic moment, μB per formula unit: 0.0

Unit cell a=8.4693 b=8.4693 c=8.4693 alpha=58.04 beta=58.04 gamma=58.04
Fractional coordinates of all 16 atoms:
Ca 0.0000 0.0000 0.0000
Pr 0.0000 0.0000 0.5000
Pr 0.0000 0.5000 0.0000
Pr 0.5000 0.0000 0.0000
Pr 0.5000 0.5000 0.5000
Er 0.0000 0.5000 0.5000
Er 0.5000 0.0000 0.5000
Er 0.5000 0.5000 0.0000
Se 0.2451 0.2451 0.7403
Se 0.2451 0.7403 0.2451
Se 0.2572 0.2572 0.2572
Se 0.2597 0.7549 0.7549
Se 0.7403 0.2451 0.2451
Se 0.7428 0.7428 0.7428
Se 0.7549 0.2597 0.7549
Se 0.7549 0.7549 0.2597



# 3
A plane-wave DFT calculation with PBE-GGA was carried out for a relaxed structure of Ca3Pr2ErSe6.

Calculated values
Energy relative to the elements, uncorrected, eV per atom: -1.8846
Energy, eV per cell: -63.6
Total magnetic moment, μB per formula unit: 0.0

Unit cell a=7.2251 b=7.2251 c=7.3361 alpha=99.49 beta=99.49 gamma=119.92
Fractional coordinates of all 12 atoms:
Ca 0.0000 0.0000 0.0000
Ca 0.3304 0.6696 0.0000
Ca 0.6696 0.3304 0.0000
Pr 0.1657 0.8343 0.5000
Pr 0.8343 0.1657 0.5000
Er 0.5000 0.5000 0.5000
Se 0.0945 0.4161 0.2472
Se 0.2640 0.2640 0.7537
Se 0.4161 0.0945 0.2472
Se 0.5839 0.9055 0.7528
Se 0.7360 0.7360 0.2463
Se 0.9055 0.5839 0.7528



# 4
A plane-wave DFT calculation with PBE-GGA was carried out for a relaxed structure of CaPrEr2Se4.

Calculated values
Energy relative to the elements, uncorrected, eV per atom: -1.8058
Energy, eV per cell: -44.3
Total magnetic moment, μB per formula unit: 0.0

Unit cell a=7.1647 b=4.1024 c=7.1850 alpha=90.00 beta=109.00 gamma=90.00
Fractional coordinates of all 8 atoms:
Ca 0.0000 0.0000 0.0000
Pr 0.0000 0.5000 0.5000
Er 0.5000 0.0000 0.5000
Er 0.5000 0.5000 0.0000
Se 0.2619 0.5000 0.2486
Se 0.2651 0.0000 0.7612
Se 0.7349 0.0000 0.2388
Se 0.7381 0.5000 0.7514



# 5
A plane-wave DFT calculation with PBE-GGA was carried out for a relaxed structure of CaPrEr4Se8.

Calculated values
Energy relative to the elements, uncorrected, eV per atom: -1.7823
Energy, eV per cell: -77.9
Total magnetic moment, μB per formula unit: 0.0

Unit cell a=8.5111 b=8.5111 c=8.5111 alpha=59.28 beta=59.28 gamma=59.28
Fractional coordinates of all 14 atoms:
Ca 0.0000 0.0000 0.0000
Pr 0.6286 0.6286 0.6286
Er 0.1206 0.6287 0.6287
Er 0.2527 0.2527 0.2527
Er 0.6287 0.1206 0.6287
Er 0.6287 0.6287 0.1206
Se 0.3765 0.3765 0.8581
Se 0.3765 0.8581 0.3765
Se 0.3850 0.3850 0.3850
Se 0.4042 0.8747 0.8747
Se 0.8581 0.3765 0.3765
Se 0.8658 0.8658 0.8658
Se 0.8747 0.4042 0.8747
Se 0.8747 0.8747 0.4042



# 6
A plane-wave DFT calculation with PBE-GGA was carried out for a relaxed structure of CaPrSmEr.

Calculated values
Polymorph energy (0 for the lowest one), eV per formula unit: 0.00
Energy, eV per cell: -15.9
ΔH_f (0 K), meV/atom: 48
Total magnetic moment, μB per formula unit: 0.0

Unit cell a=3.6580 b=3.6580 c=10.4945 alpha=90.00 beta=90.00 gamma=90.00
Fractional coordinates of all 4 atoms:
Ca 0.0000 0.0000 0.0000
Pr 0.5000 0.5000 0.2698
Sm 0.5000 0.5000 0.7360
Er 0.0000 0.0000 0.5065



# 7
A plane-wave DFT calculation with PBE-GGA was carried out for a relaxed structure of CaPrSmEr.

Calculated values
Polymorph energy (0 for the lowest one), eV per formula unit: 0.29
Energy, eV per cell: -15.6
ΔH_f (0 K), meV/atom: 120
Total magnetic moment, μB per formula unit: 0.0

Unit cell a=5.8282 b=5.8282 c=5.8282 alpha=60.00 beta=60.00 gamma=60.00
Fractional coordinates of all 4 atoms:
Ca 0.0000 0.0000 0.0000
Pr 0.2500 0.2500 0.2500
Sm 0.7500 0.7500 0.7500
Er 0.5000 0.5000 0.5000



# 8
A plane-wave DFT calculation with PBE-GGA was carried out for a relaxed structure of SrCaPrEr.

Calculated values
Energy, eV per cell: -12.3
ΔH_f (0 K), meV/atom: 175
Total magnetic moment, μB per formula unit: 0.0

Unit cell a=6.0298 b=6.0298 c=6.0298 alpha=60.00 beta=60.00 gamma=60.00
Fractional coordinates of all 4 atoms:
Sr 0.0000 0.0000 0.0000
Ca 0.2500 0.2500 0.2500
Pr 0.5000 0.5000 0.5000
Er 0.7500 0.7500 0.7500



# 9
A plane-wave DFT calculation with PBE-GGA was carried out for a relaxed structure of CaTb2Pr6Er.

Calculated values
Energy, eV per cell: -86.6
ΔH_f (0 K), meV/atom: 119
Total magnetic moment, μB per formula unit: 0.0

Unit cell a=9.0786 b=9.0786 c=9.8144 alpha=93.35 beta=93.35 gamma=117.62
Fractional coordinates of all 20 atoms:
Ca 0.0263 0.9737 0.7500
Ca 0.9737 0.0263 0.2500
Tb 0.2002 0.3062 0.5460
Tb 0.3062 0.2002 0.0460
Tb 0.6938 0.7998 0.9540
Tb 0.7998 0.6938 0.4540
Pr 0.0128 0.5560 0.6834
Pr 0.1265 0.7537 0.0538
Pr 0.2463 0.8735 0.4462
Pr 0.2919 0.5028 0.8817
Pr 0.4440 0.9872 0.8166
Pr 0.4972 0.7081 0.6183
Pr 0.5028 0.2919 0.3817
Pr 0.5560 0.0128 0.1834
Pr 0.7081 0.4972 0.1183
Pr 0.7537 0.1265 0.5538
Pr 0.8735 0.2463 0.9462
Pr 0.9872 0.4440 0.3166
Er 0.4092 0.5908 0.2500
Er 0.5908 0.4092 0.7500



# 10
A plane-wave DFT calculation with PBE-GGA was carried out for a relaxed structure of CaTbPrEr.

Calculated values
Energy, eV per cell: -15.5
ΔH_f (0 K), meV/atom: 130
Total magnetic moment, μB per formula unit: 0.0

Unit cell a=5.7988 b=5.7988 c=5.7988 alpha=60.00 beta=60.00 gamma=60.00
Fractional coordinates of all 4 atoms:
Ca 0.0000 0.0000 0.0000
Tb 0.7500 0.7500 0.7500
Pr 0.2500 0.2500 0.2500
Er 0.5000 0.5000 0.5000



# 11
A plane-wave DFT calculation with PBE-GGA was carried out for a relaxed structure of Ca2PrErTe4.

Calculated values
Energy relative to the elements, uncorrected, eV per atom: -1.4664
Energy, eV per cell: -37.6
Total magnetic moment, μB per formula unit: 0.0

Unit cell a=7.6837 b=4.4236 c=7.8244 alpha=90.00 beta=109.04 gamma=90.00
Fractional coordinates of all 8 atoms:
Ca 0.0000 0.0000 0.0000
Ca 0.5000 0.5000 0.0000
Pr 0.0000 0.5000 0.5000
Er 0.5000 0.0000 0.5000
Te 0.2599 0.0000 0.7527
Te 0.2596 0.5000 0.2537
Te 0.7401 0.0000 0.2473
Te 0.7404 0.5000 0.7463



# 12
A plane-wave DFT calculation with PBE-GGA was carried out for a relaxed structure of Ca4PrEr3Te8.

Calculated values
Energy relative to the elements, uncorrected, eV per atom: -1.4436
Energy, eV per cell: -74.7
Total magnetic moment, μB per formula unit: 0.0

Unit cell a=8.9270 b=8.9270 c=8.9270 alpha=59.12 beta=59.12 gamma=59.12
Fractional coordinates of all 16 atoms:
Ca 0.0000 0.0000 0.0000
Ca 0.0000 0.5000 0.5000
Ca 0.5000 0.0000 0.5000
Ca 0.5000 0.5000 0.0000
Pr 0.5000 0.5000 0.5000
Er 0.0000 0.0000 0.5000
Er 0.0000 0.5000 0.0000
Er 0.5000 0.0000 0.0000
Te 0.2405 0.7534 0.7534
Te 0.2471 0.2471 0.2471
Te 0.2466 0.2466 0.7595
Te 0.2466 0.7595 0.2466
Te 0.7534 0.2405 0.7534
Te 0.7534 0.7534 0.2405
Te 0.7529 0.7529 0.7529
Te 0.7595 0.2466 0.2466



# 13
A plane-wave DFT calculation with PBE-GGA was carried out for a relaxed structure of Ca3Pr2ErTe6.

Calculated values
Energy relative to the elements, uncorrected, eV per atom: -1.4869
Energy, eV per cell: -56.8
Total magnetic moment, μB per formula unit: 0.0

Unit cell a=7.7050 b=7.7050 c=7.8550 alpha=99.45 beta=99.45 gamma=119.91
Fractional coordinates of all 12 atoms:
Ca 0.0000 0.0000 0.0000
Ca 0.3290 0.6710 0.0000
Ca 0.6710 0.3290 0.0000
Pr 0.1650 0.8350 0.5000
Pr 0.8350 0.1650 0.5000
Er 0.5000 0.5000 0.5000
Te 0.0942 0.4170 0.2489
Te 0.2634 0.2634 0.7540
Te 0.4170 0.0942 0.2489
Te 0.5830 0.9058 0.7511
Te 0.7366 0.7366 0.2460
Te 0.9058 0.5830 0.7511



# 14
A plane-wave DFT calculation with PBE-GGA was carried out for a relaxed structure of CaPrErTh.

Calculated values
Energy, eV per cell: -17.8
ΔH_f (0 K), meV/atom: 230
Total magnetic moment, μB per formula unit: 0.3

Unit cell a=5.7879 b=5.7879 c=5.7879 alpha=60.00 beta=60.00 gamma=60.00
Fractional coordinates of all 4 atoms:
Ca 0.0000 0.0000 0.0000
Pr 0.2500 0.2500 0.2500
Er 0.7500 0.7500 0.7500
Th 0.5000 0.5000 0.5000



# 15
A plane-wave DFT calculation with PBE-GGA was carried out for a relaxed structure of Ca2PrErTl4.

Calculated values
Energy, eV per cell: -25.8
ΔH_f (0 K), meV/atom: -375
Total magnetic moment, μB per formula unit: 0.0

Unit cell a=9.5081 b=9.5081 c=9.5081 alpha=33.44 beta=33.44 gamma=33.44
Fractional coordinates of all 8 atoms:
Ca 0.2491 0.2491 0.2491
Ca 0.7509 0.7509 0.7509
Pr 0.0000 0.0000 0.0000
Er 0.5000 0.5000 0.5000
Tl 0.1267 0.1267 0.1267
Tl 0.3776 0.3776 0.3776
Tl 0.6224 0.6224 0.6224
Tl 0.8733 0.8733 0.8733



# 16
A plane-wave DFT calculation with PBE-GGA was carried out for a relaxed structure of CaPr6Er2Tm.

Calculated values
Energy, eV per cell: -86.1
ΔH_f (0 K), meV/atom: 122
Total magnetic moment, μB per formula unit: 0.0

Unit cell a=9.0424 b=9.0424 c=9.7784 alpha=93.35 beta=93.35 gamma=117.40
Fractional coordinates of all 20 atoms:
Ca 0.0268 0.9732 0.7500
Ca 0.9732 0.0268 0.2500
Pr 0.0115 0.5544 0.6831
Pr 0.1254 0.7542 0.0538
Pr 0.2458 0.8746 0.4462
Pr 0.2930 0.5039 0.8815
Pr 0.4456 0.9885 0.8169
Pr 0.4961 0.7070 0.6185
Pr 0.5039 0.2930 0.3815
Pr 0.5544 0.0115 0.1831
Pr 0.7070 0.4961 0.1185
Pr 0.7542 0.1254 0.5538
Pr 0.8746 0.2458 0.9462
Pr 0.9885 0.4456 0.3169
Er 0.2012 0.3067 0.5468
Er 0.3067 0.2012 0.0468
Er 0.6933 0.7988 0.9532
Er 0.7988 0.6933 0.4532
Tm 0.4095 0.5905 0.2500
Tm 0.5905 0.4095 0.7500



# 17
A plane-wave DFT calculation with PBE-GGA was carried out for a relaxed structure of CaPr6YEr2.

Calculated values
Energy, eV per cell: -90.0
ΔH_f (0 K), meV/atom: 128
Total magnetic moment, μB per formula unit: 0.0

Unit cell a=9.0806 b=9.0806 c=9.9179 alpha=94.31 beta=94.31 gamma=118.59
Fractional coordinates of all 20 atoms:
Ca 0.0980 0.9020 0.7500
Ca 0.9020 0.0980 0.2500
Pr 0.0010 0.2097 0.6220
Pr 0.0664 0.5265 0.1783
Pr 0.2097 0.0010 0.1220
Pr 0.2653 0.6138 0.5522
Pr 0.3862 0.7347 0.9478
Pr 0.4735 0.9336 0.3217
Pr 0.5265 0.0664 0.6783
Pr 0.6138 0.2653 0.0522
Pr 0.7347 0.3862 0.4478
Pr 0.7903 0.9990 0.8780
Pr 0.9336 0.4735 0.8217
Pr 0.9990 0.7903 0.3780
Y 0.4726 0.5274 0.2500
Y 0.5274 0.4726 0.7500
Er 0.2027 0.3035 0.9561
Er 0.3035 0.2027 0.4561
Er 0.6965 0.7973 0.5439
Er 0.7973 0.6965 0.0439



# 18
A plane-wave DFT calculation with PBE-GGA was carried out for a relaxed structure of CaPr3Y6Er2.

Calculated values
Energy, eV per cell: -63.6
ΔH_f (0 K), meV/atom: 55
Total magnetic moment, μB per formula unit: 0.0

Unit cell a=6.2866 b=6.2866 c=11.9476 alpha=95.03 beta=95.03 gamma=120.00
Fractional coordinates of all 12 atoms:
Ca 0.0000 0.0000 0.0000
Pr 0.1654 0.8346 0.5000
Pr 0.5000 0.5000 0.5000
Pr 0.8346 0.1654 0.5000
Y 0.0834 0.4229 0.2485
Y 0.2559 0.2559 0.7514
Y 0.4229 0.0834 0.2485
Y 0.5771 0.9166 0.7515
Y 0.7441 0.7441 0.2486
Y 0.9166 0.5771 0.7515
Er 0.3334 0.6666 0.0000
Er 0.6666 0.3334 0.0000



# 19
A plane-wave DFT calculation with PBE-GGA was carried out for a relaxed structure of CaPrYEr.

Calculated values
Energy, eV per cell: -17.3
ΔH_f (0 K), meV/atom: 126
Total magnetic moment, μB per formula unit: 0.0

Unit cell a=5.8035 b=5.8035 c=5.8035 alpha=60.00 beta=60.00 gamma=60.00
Fractional coordinates of all 4 atoms:
Ca 0.0000 0.0000 0.0000
Pr 0.7500 0.7500 0.7500
Y 0.2500 0.2500 0.2500
Er 0.5000 0.5000 0.5000



# 20
A plane-wave DFT calculation with PBE-GGA was carried out for a relaxed structure of CaErPt10.

Calculated values
Energy, eV per cell: -74.3
ΔH_f (0 K), meV/atom: -611
Total magnetic moment, μB per formula unit: 0.0

Unit cell a=4.4436 b=5.3834 c=9.2581 alpha=90.00 beta=90.00 gamma=90.00
Fractional coordinates of all 12 atoms:
Ca 0.0000 0.0000 0.0000
Er 0.0000 0.5000 0.5000
Pt 0.0000 0.0000 0.3361
Pt 0.0000 0.0000 0.6639
Pt 0.0000 0.5000 0.1698
Pt 0.0000 0.5000 0.8302
Pt 0.5000 0.0000 0.5000
Pt 0.5000 0.2519 0.2531
Pt 0.5000 0.2519 0.7469
Pt 0.5000 0.5000 0.0000
Pt 0.5000 0.7481 0.2531
Pt 0.5000 0.7481 0.7469



# 21
A plane-wave DFT calculation with PBE-GGA was carried out for a relaxed structure of Ca2Er3Pt4.

Calculated values
Energy, eV per cell: -104.1
ΔH_f (0 K), meV/atom: -1135
Total magnetic moment, μB per formula unit: 0.0

Unit cell a=7.7039 b=7.6710 c=7.5768 alpha=90.00 beta=110.39 gamma=90.00
Fractional coordinates of all 18 atoms:
Ca 0.1933 0.1750 0.0701
Ca 0.1933 0.3250 0.5701
Ca 0.8067 0.6750 0.4299
Ca 0.8067 0.8250 0.9299
Er 0.2429 0.6651 0.2486
Er 0.2429 0.8349 0.7486
Er 0.5000 0.0000 0.5000
Er 0.5000 0.5000 0.0000
Er 0.7571 0.1651 0.2514
Er 0.7571 0.3349 0.7514
Pt 0.0933 0.5404 0.8653
Pt 0.0933 0.9596 0.3653
Pt 0.4970 0.6335 0.6313
Pt 0.4970 0.8665 0.1313
Pt 0.5030 0.1335 0.8687
Pt 0.5030 0.3665 0.3687
Pt 0.9067 0.0404 0.6347
Pt 0.9067 0.4596 0.1347